Entry 1:
! Pm7Tm2Sc (PBE, relaxed); values from VASP
&SYSTEM
  ibrav = 0, nat = 10, ntyp = 3
/
ATOMIC_SPECIES
Pm 145.00 Pm.upf
Tm 168.93 Tm.upf
Sc 44.96 Sc.upf
ATOMIC_POSITIONS angstrom
Pm 0.0000 0.0000 0.0000
Pm 2.8365 1.8343 0.0000
Pm 4.4153 3.3769 2.6710
Pm 2.8365 -1.8343 0.0000
Pm 5.9941 1.8343 0.0000
Pm 4.4153 -3.3769 2.6710
Pm 5.9941 -1.8343 0.0000
Tm 4.4153 4.9952 0.0000
Tm 4.4153 -4.9952 0.0000
Sc 4.4153 0.0000 2.6710
CELL_PARAMETERS angstrom
4.4153 -8.4442 0.0000
4.4153 8.4442 0.0000
0.0000 0.0000 5.3421
! Formation energy (kJ/mol of formula units): 642
! Space group: No. 65
! Magnetic moment (μB per cell): 0.00
! Electronic total energy (eV per atom): -4.188


Entry 2:
! Pm5Tm4Sc2 (PBE, relaxed); values from VASP
&SYSTEM
  ibrav = 0, nat = 11, ntyp = 3
/
ATOMIC_SPECIES
Pm 145.00 Pm.upf
Tm 168.93 Tm.upf
Sc 44.96 Sc.upf
ATOMIC_POSITIONS angstrom
Pm 0.0000 0.0000 0.0000
Pm 0.3071 0.0000 3.4896
Pm 2.1750 0.0000 9.4473
Pm 5.8000 0.0000 1.7292
Pm 7.6679 0.0000 7.6870
Tm 1.6895 1.7607 6.2649
Tm 2.7483 1.7607 1.4203
Tm 5.2267 1.7607 9.7563
Tm 6.2856 1.7607 4.9116
Sc 3.5420 0.0000 4.1197
Sc 4.4331 0.0000 7.0568
CELL_PARAMETERS angstrom
8.7711 0.0000 0.0000
0.0000 3.5214 0.0000
-0.7960 0.0000 11.1766
! Formation energy (kJ/mol of formula units): 86
! Space group: No. 10
! ΔE to the lowest computed polymorph (meV/atom): 0
! Magnetic moment (μB per cell): 0.00
! Electronic total energy (eV per atom): -4.855


Entry 3:
! Pm4Tm2Sc3 (PBE, relaxed); values from VASP
&SYSTEM
  ibrav = 0, nat = 9, ntyp = 3
/
ATOMIC_SPECIES
Pm 145.00 Pm.upf
Tm 168.93 Tm.upf
Sc 44.96 Sc.upf
ATOMIC_POSITIONS angstrom
Pm -0.0536 0.0000 2.4692
Pm 2.4367 0.0000 4.9695
Pm 9.8939 0.0000 2.4791
Pm 12.3842 0.0000 4.9794
Tm -0.0198 0.0000 7.4350
Tm 12.3504 0.0000 0.0135
Sc 4.9511 0.0000 2.4407
Sc 7.4010 0.0000 0.0000
Sc 7.3795 0.0000 5.0078
CELL_PARAMETERS angstrom
7.4010 -2.4410 0.0000
7.4010 2.4410 0.0000
-2.4713 0.0000 7.4485
! Formation energy (kJ/mol of formula units): 45
! Space group: No. 12
! ΔE to the lowest computed polymorph (meV/atom): 3
! Magnetic moment (μB per cell): 0.00
! Electronic total energy (eV per atom): -5.164


Entry 4:
! Pm6TmSc8 (PBE, relaxed); values from VASP
&SYSTEM
  ibrav = 0, nat = 15, ntyp = 3
/
ATOMIC_SPECIES
Pm 145.00 Pm.upf
Tm 168.93 Tm.upf
Sc 44.96 Sc.upf
ATOMIC_POSITIONS angstrom
Pm -2.0993 -0.1724 7.1019
Pm -0.9004 -1.9043 10.4053
Pm 1.1990 -1.7319 7.1019
Pm -1.1990 1.7319 10.4053
Pm 0.9004 1.9043 7.1019
Pm 2.0993 0.1724 10.4053
Tm 0.0000 0.0000 0.0000
Sc -1.5298 -3.5294 7.5829
Sc -3.8214 -0.4399 9.9244
Sc 0.0000 0.0000 3.9659
Sc -2.2916 3.0895 7.5829
Sc 2.2916 -3.0895 9.9244
Sc 0.0000 0.0000 13.5414
Sc 3.8214 0.4399 7.5829
Sc 1.5298 3.5294 9.9244
CELL_PARAMETERS angstrom
4.6347 2.6758 5.8358
-4.6347 2.6758 5.8358
0.0000 -5.3516 5.8358
! Formation energy (kJ/mol of formula units): 263
! Space group: No. 148
! Magnetic moment (μB per cell): 0.00
! Electronic total energy (eV per atom): -5.394


Entry 5:
! Pm2TmSc7 (PBE, relaxed); values from VASP
&SYSTEM
  ibrav = 0, nat = 10, ntyp = 3
/
ATOMIC_SPECIES
Pm 145.00 Pm.upf
Tm 168.93 Tm.upf
Sc 44.96 Sc.upf
ATOMIC_POSITIONS angstrom
Pm 3.0453 7.9385 0.0000
Pm 3.0453 -7.9385 0.0000
Tm 3.0453 0.0000 1.6564
Sc 0.0000 0.0000 0.0000
Sc 1.5512 2.6467 0.0000
Sc 3.0453 4.9201 1.6564
Sc 1.5512 -2.6467 0.0000
Sc 4.5394 2.6467 0.0000
Sc 3.0453 -4.9201 1.6564
Sc 4.5394 -2.6467 0.0000
CELL_PARAMETERS angstrom
3.0453 -13.6565 0.0000
3.0453 13.6565 0.0000
0.0000 0.0000 3.3128
! Formation energy (kJ/mol of formula units): 148
! Space group: No. 65
! Magnetic moment (μB per cell): 0.00
! Electronic total energy (eV per atom): -5.676


Entry 6:
! Pm15TmSc4 (PBE, relaxed); values from VASP
&SYSTEM
  ibrav = 0, nat = 20, ntyp = 3
/
ATOMIC_SPECIES
Pm 145.00 Pm.upf
Tm 168.93 Tm.upf
Sc 44.96 Sc.upf
ATOMIC_POSITIONS angstrom
Pm 0.0000 0.0000 0.0000
Pm 0.0000 0.0000 5.0674
Pm 0.0000 0.0000 10.0613
Pm 0.0000 0.0000 15.0584
Pm 0.0000 0.0000 20.0522
Pm 0.0000 2.5204 2.5727
Pm 0.0000 2.5204 7.5628
Pm 0.0000 2.5204 12.5598
Pm 0.0000 2.5204 17.5568
Pm 0.0000 2.5204 22.5470
Pm 2.5204 0.0000 2.5727
Pm 2.5204 0.0000 7.5628
Pm 2.5204 0.0000 12.5598
Pm 2.5204 0.0000 17.5568
Pm 2.5204 0.0000 22.5470
Tm 2.5204 2.5204 0.0000
Sc 2.5204 2.5204 5.0654
Sc 2.5204 2.5204 10.0609
Sc 2.5204 2.5204 15.0588
Sc 2.5204 2.5204 20.0542
CELL_PARAMETERS angstrom
5.0408 0.0000 0.0000
0.0000 5.0408 0.0000
0.0000 0.0000 25.1196
! Formation energy (kJ/mol of formula units): 56
! Space group: No. 123
! Magnetic moment (μB per cell): 0.00
! Electronic total energy (eV per atom): -5.024


Entry 7:
! Pm4Tm7Sc (PBE, relaxed); values from VASP
&SYSTEM
  ibrav = 0, nat = 12, ntyp = 3
/
ATOMIC_SPECIES
Pm 145.00 Pm.upf
Tm 168.93 Tm.upf
Sc 44.96 Sc.upf
ATOMIC_POSITIONS angstrom
Pm -0.4511 0.0000 3.5650
Pm 2.9102 0.0000 2.9889
Pm 5.2576 0.0000 9.5771
Pm 8.6189 0.0000 9.0010
Tm -1.5267 0.0000 12.1377
Tm 1.0955 0.0000 7.5397
Tm 1.8794 0.0000 10.9537
Tm 4.0839 0.0000 6.2830
Tm 6.2884 0.0000 1.6123
Tm 7.0723 0.0000 5.0264
Tm 9.6945 0.0000 0.4284
Sc -1.6004 0.0000 6.2830
CELL_PARAMETERS angstrom
5.6843 -2.6415 0.0000
5.6843 2.6415 0.0000
-3.2008 0.0000 12.5661
! Formation energy (kJ/mol of formula units): 235
! Space group: No. 12
! ΔE to the lowest computed polymorph (meV/atom): 51
! Magnetic moment (μB per cell): 0.29
! Electronic total energy (eV per atom): -4.517


Entry 8:
! PmTm4Sc4 (PBE, relaxed); values from VASP
&SYSTEM
  ibrav = 0, nat = 18, ntyp = 3
/
ATOMIC_SPECIES
Pm 145.00 Pm.upf
Tm 168.93 Tm.upf
Sc 44.96 Sc.upf
ATOMIC_POSITIONS angstrom
Pm 1.6832 5.0495 2.9350
Pm 5.0495 1.6832 8.8051
Tm 0.0572 1.6832 0.2768
Tm 1.6832 0.0572 6.1469
Tm 1.6832 3.3092 6.1469
Tm 3.3092 1.6832 0.2768
Tm 3.4235 5.0495 11.4634
Tm 5.0495 3.4235 5.5933
Tm 5.0495 6.6755 5.5933
Tm 6.6755 5.0495 11.4634
Sc 0.2123 1.6832 3.6019
Sc 1.6832 0.2123 9.4720
Sc 1.6832 3.1540 9.4720
Sc 3.1540 1.6832 3.6019
Sc 3.5786 5.0495 8.1383
Sc 5.0495 3.5786 2.2682
Sc 5.0495 6.5203 2.2682
Sc 6.5203 5.0495 8.1383
CELL_PARAMETERS angstrom
6.7326 0.0000 0.0000
0.0000 6.7326 0.0000
0.0000 0.0000 11.7402
! Formation energy (kJ/mol of formula units): 236
! Space group: No. 137
! ΔE to the lowest computed polymorph (meV/atom): 218
! Magnetic moment (μB per cell): 0.00
! Electronic total energy (eV per atom): -5.058